! Be2CuBr PBE relaxed; values from VASP
&SYSTEM
  ibrav = 0, nat = 4, ntyp = 3
/
ATOMIC_SPECIES
Be 9.01 Be.upf
Cu 63.55 Cu.upf
Br 79.90 Br.upf
CELL_PARAMETERS angstrom
0.0000 3.1089 3.1089
3.1089 0.0000 3.1089
3.1089 3.1089 0.0000
ATOMIC_POSITIONS crystal
Be 0.0000 0.0000 0.0000
Be 0.2500 0.2500 0.2500
Cu 0.5000 0.5000 0.5000
Br 0.7500 0.7500 0.7500
! Relative energy among the computed polymorphs, eV/atom: 1.036
! Theoretical density, Mg/m³: 4.5
! Formation energy (no corrections), eV/atom: 1.15
! Density of states at the Fermi level, states/eV per cell: 2.92
! VASP energy, eV per cell: -8.60